No. 1
Below is a geometry-optimized Pr8AgPb2 structure, with properties calculated at the PBE level.

CIF file:
```
data_Pr8AgPb2
_chemical_formula_sum 'Pr8 Ag1 Pb2'
_cell_length_a 5.303
_cell_length_b 7.071
_cell_length_c 10.403
_cell_angle_alpha 104.68
_cell_angle_beta 104.77
_cell_angle_gamma 90.00
_symmetry_space_group_name_H-M 'P 1'
_symmetry_Int_Tables_number 1
loop_
_symmetry_equiv_pos_as_xyz
'x,y,z'
loop_
_atom_site_label
_atom_site_type_symbol
_atom_site_fract_x
_atom_site_fract_y
_atom_site_fract_z
Ag1 Ag 0.500 0.000 0.000
Pr1 Pr 0.408 0.522 0.817
Pr2 Pr 0.592 0.478 0.183
Pb1 Pb 0.820 0.243 0.640
Pr3 Pr 0.986 0.226 0.971
Pr4 Pr 0.653 0.000 0.306
Pr5 Pr 0.213 0.322 0.426
Pr6 Pr 0.347 0.000 0.694
Pb2 Pb 0.180 0.757 0.360
Pr7 Pr 0.787 0.678 0.574
Pr8 Pr 0.014 0.774 0.029
```

E_form: -2.53 eV per formula unit

***

No. 2
Below is a geometry-optimized Pr7Ag2Pb2 structure, with properties calculated at the PBE level.

CIF file:
```
data_Pr7Ag2Pb2
_chemical_formula_sum 'Pr7 Ag2 Pb2'
_cell_length_a 7.300
_cell_length_b 7.345
_cell_length_c 7.300
_cell_angle_alpha 89.99
_cell_angle_beta 106.66
_cell_angle_gamma 90.01
_symmetry_space_group_name_H-M 'P 1'
_symmetry_Int_Tables_number 1
loop_
_symmetry_equiv_pos_as_xyz
'x,y,z'
loop_
_atom_site_label
_atom_site_type_symbol
_atom_site_fract_x
_atom_site_fract_y
_atom_site_fract_z
Pb1 Pb 0.178 0.500 0.178
Pr1 Pr 0.500 0.248 0.500
Ag1 Ag 0.280 0.000 0.720
Pr2 Pr 0.000 0.727 0.500
Pr3 Pr 0.500 0.273 0.000
Pr4 Pr 0.500 0.752 0.500
Ag2 Ag 0.720 0.000 0.280
Pr5 Pr 0.000 0.273 0.500
Pr6 Pr 0.500 0.727 0.000
Pr7 Pr 0.000 0.000 0.000
Pb2 Pb 0.822 0.500 0.822
```

E_form: -0.54 eV per formula unit

***

No. 3
Below is a geometry-optimized Pr2AgPb structure, with properties calculated at the PBE level.

CIF file:
```
data_Pr2AgPb
_chemical_formula_sum 'Pr2 Ag1 Pb1'
_cell_length_a 4.092
_cell_length_b 5.352
_cell_length_c 5.352
_cell_angle_alpha 90.00
_cell_angle_beta 90.00
_cell_angle_gamma 90.00
_symmetry_space_group_name_H-M 'P 1'
_symmetry_Int_Tables_number 1
loop_
_symmetry_equiv_pos_as_xyz
'x,y,z'
loop_
_atom_site_label
_atom_site_type_symbol
_atom_site_fract_x
_atom_site_fract_y
_atom_site_fract_z
Pr1 Pr 0.000 0.000 0.500
Pb1 Pb 0.500 0.500 0.500
Ag1 Ag 0.500 0.000 0.000
Pr2 Pr 0.000 0.500 0.000
```

E_form: -1.55 eV per formula unit

***

No. 4
Below is a geometry-optimized Pr5Ag2Pb5 structure, with properties calculated at the PBE level.

CIF file:
```
data_Pr5Ag2Pb5
_chemical_formula_sum 'Pr5 Ag2 Pb5'
_cell_length_a 4.833
_cell_length_b 8.799
_cell_length_c 9.161
_cell_angle_alpha 77.12
_cell_angle_beta 74.71
_cell_angle_gamma 74.06
_symmetry_space_group_name_H-M 'P 1'
_symmetry_Int_Tables_number 1
loop_
_symmetry_equiv_pos_as_xyz
'x,y,z'
loop_
_atom_site_label
_atom_site_type_symbol
_atom_site_fract_x
_atom_site_fract_y
_atom_site_fract_z
Pb1 Pb 0.243 0.697 0.817
Pr1 Pr 0.500 0.500 0.500
Pb2 Pb 0.000 0.000 0.000
Pr2 Pr 0.391 0.299 0.919
Ag1 Ag 0.858 0.540 0.743
Pr3 Pr 0.609 0.701 0.081
Ag2 Ag 0.142 0.460 0.257
Pr4 Pr 0.311 0.051 0.327
Pb3 Pb 0.065 0.231 0.639
Pb4 Pb 0.935 0.769 0.361
Pr5 Pr 0.689 0.949 0.673
Pb5 Pb 0.757 0.303 0.183
```

E_form: -5.67 eV per formula unit

***

No. 5
Below is a geometry-optimized Pr3AgPb2 structure, with properties calculated at the PBE level.

CIF file:
```
data_Pr3AgPb2
_chemical_formula_sum 'Pr6 Ag2 Pb4'
_cell_length_a 6.632
_cell_length_b 6.502
_cell_length_c 9.142
_cell_angle_alpha 102.76
_cell_angle_beta 111.27
_cell_angle_gamma 90.00
_symmetry_space_group_name_H-M 'P 1'
_symmetry_Int_Tables_number 1
loop_
_symmetry_equiv_pos_as_xyz
'x,y,z'
loop_
_atom_site_label
_atom_site_type_symbol
_atom_site_fract_x
_atom_site_fract_y
_atom_site_fract_z
Pr1 Pr 0.060 0.601 0.337
Pr2 Pr 0.343 0.750 0.000
Ag1 Ag 0.134 0.250 0.000
Pb1 Pb 0.235 0.952 0.685
Pb2 Pb 0.765 0.048 0.315
Pr3 Pr 0.277 0.101 0.337
Ag2 Ag 0.866 0.750 0.000
Pb3 Pb 0.550 0.548 0.315
Pr4 Pr 0.940 0.399 0.663
Pr5 Pr 0.657 0.250 0.000
Pr6 Pr 0.723 0.899 0.663
Pb4 Pb 0.450 0.452 0.685
```

E_form: -2.28 eV per formula unit

***

No. 6
Below is a geometry-optimized PrAg2Pb structure, with properties calculated at the PBE level.

CIF file:
```
data_PrAg2Pb
_chemical_formula_sum 'Pr1 Ag2 Pb1'
_cell_length_a 4.489
_cell_length_b 4.727
_cell_length_c 4.727
_cell_angle_alpha 90.00
_cell_angle_beta 90.00
_cell_angle_gamma 90.00
_symmetry_space_group_name_H-M 'P 1'
_symmetry_Int_Tables_number 1
loop_
_symmetry_equiv_pos_as_xyz
'x,y,z'
loop_
_atom_site_label
_atom_site_type_symbol
_atom_site_fract_x
_atom_site_fract_y
_atom_site_fract_z
Pb1 Pb 0.500 0.000 0.000
Pr1 Pr 0.500 0.500 0.500
Ag1 Ag 0.000 0.500 0.000
Ag2 Ag 0.000 0.000 0.500
```

E_form: -0.79 eV per formula unit

***

No. 7
Below is a geometry-optimized Pr2AgPb2 structure, with properties calculated at the PBE level.

CIF file:
```
data_Pr2AgPb2
_chemical_formula_sum 'Pr4 Ag2 Pb4'
_cell_length_a 5.084
_cell_length_b 6.724
_cell_length_c 9.049
_cell_angle_alpha 90.00
_cell_angle_beta 106.31
_cell_angle_gamma 90.00
_symmetry_space_group_name_H-M 'P 1'
_symmetry_Int_Tables_number 1
loop_
_symmetry_equiv_pos_as_xyz
'x,y,z'
loop_
_atom_site_label
_atom_site_type_symbol
_atom_site_fract_x
_atom_site_fract_y
_atom_site_fract_z
Pr1 Pr 0.783 0.463 0.566
Pb1 Pb 0.170 0.468 0.339
Pr2 Pr 0.000 0.230 0.999
Ag1 Ag 0.415 0.987 0.831
Ag2 Ag 0.585 0.487 0.169
Pb2 Pb 0.410 0.485 0.820
Pr3 Pr 0.000 0.730 0.001
Pb3 Pb 0.830 0.968 0.661
Pr4 Pr 0.217 0.963 0.434
Pb4 Pb 0.590 0.985 0.180
```

E_form: -1.96 eV per formula unit

***

No. 8
Below is a geometry-optimized Pr7Ag4Pb structure, with properties calculated at the PBE level.

CIF file:
```
data_Pr7Ag4Pb
_chemical_formula_sum 'Pr7 Ag4 Pb1'
_cell_length_a 5.973
_cell_length_b 9.018
_cell_length_c 8.009
_cell_angle_alpha 67.34
_cell_angle_beta 68.11
_cell_angle_gamma 70.66
_symmetry_space_group_name_H-M 'P 1'
_symmetry_Int_Tables_number 1
loop_
_symmetry_equiv_pos_as_xyz
'x,y,z'
loop_
_atom_site_label
_atom_site_type_symbol
_atom_site_fract_x
_atom_site_fract_y
_atom_site_fract_z
Pr1 Pr 0.816 0.887 0.480
Pr2 Pr 0.724 0.311 0.241
Pr3 Pr 0.925 0.405 0.745
Pr4 Pr 0.075 0.595 0.255
Pr5 Pr 0.184 0.113 0.520
Ag1 Ag 0.481 0.678 0.360
Ag2 Ag 0.310 0.342 0.038
Ag3 Ag 0.519 0.322 0.640
Pb1 Pb 0.000 0.000 0.000
Ag4 Ag 0.690 0.658 0.962
Pr6 Pr 0.276 0.689 0.759
Pr7 Pr 0.500 0.000 0.000
```

E_form: -1.37 eV per formula unit

***

No. 9
Below is a geometry-optimized Pr3AgPb3 structure, with properties calculated at the PBE level.

CIF file:
```
data_Pr3AgPb3
_chemical_formula_sum 'Pr6 Ag2 Pb6'
_cell_length_a 4.775
_cell_length_b 6.447
_cell_length_c 14.986
_cell_angle_alpha 83.40
_cell_angle_beta 80.83
_cell_angle_gamma 68.26
_symmetry_space_group_name_H-M 'P 1'
_symmetry_Int_Tables_number 1
loop_
_symmetry_equiv_pos_as_xyz
'x,y,z'
loop_
_atom_site_label
_atom_site_type_symbol
_atom_site_fract_x
_atom_site_fract_y
_atom_site_fract_z
Pr1 Pr 0.403 0.272 0.922
Pb1 Pb 0.986 0.796 0.232
Ag1 Ag 0.231 0.925 0.614
Pr2 Pr 0.266 0.240 0.228
Pb2 Pb 0.860 0.733 0.547
Pr3 Pr 0.532 0.319 0.617
Pb3 Pb 0.140 0.267 0.453
Pr4 Pr 0.597 0.728 0.078
Pr5 Pr 0.734 0.760 0.772
Pb4 Pb 0.131 0.813 0.924
Pb5 Pb 0.869 0.187 0.076
Pr6 Pr 0.468 0.681 0.383
Ag2 Ag 0.769 0.075 0.386
Pb6 Pb 0.014 0.204 0.768
```

E_form: -3.45 eV per formula unit